No. 1
Below is TiGaOs2 after structural relaxation, with properties calculated at the PBE-GGA level.

Cell and atoms, written as CIF:
```
data_TiGaOs2
_chemical_formula_sum 'Ti4 Ga4 Os8'
_space_group_name_H-M_alt 'I -4 2 d'
_space_group_IT_number 122
_space_group_name_Hall 'I -4 2bw'
_cell_length_a 6.916
_cell_length_b 6.916
_cell_length_c 5.409
_cell_angle_alpha 90.00
_cell_angle_beta 90.00
_cell_angle_gamma 90.00
loop_
_atom_site_label
_atom_site_fract_x
_atom_site_fract_y
_atom_site_fract_z
Ti1 0.000 0.000 0.000
Ga1 0.000 0.000 0.500
Os1 0.243 0.250 0.125
```

ΔE_f   0.51 eV per atom
Energy   -7.831 eV/atom


No. 2
Below is Ti6Ga10Os after structural relaxation, with properties calculated at the PBE-GGA level.

Cell and atoms, written as CIF:
```
data_Ti6Ga10Os
_chemical_formula_sum 'Ti6 Ga10 Os1'
_space_group_name_H-M_alt 'P -3 1 m'
_space_group_IT_number 162
_space_group_name_Hall '-P 3 2'
_cell_length_a 7.6981
_cell_length_b 7.6981
_cell_length_c 5.3528
_cell_angle_alpha 90.00
_cell_angle_beta 90.00
_cell_angle_gamma 120.00
loop_
_atom_site_label
_atom_site_fract_x
_atom_site_fract_y
_atom_site_fract_z
Ti1 0.0000 0.3836 0.2891
Ga1 0.0000 0.2548 0.8067
Ga2 0.3333 0.6667 0.0000
Ga3 0.3333 0.6667 0.5000
Os1 0.0000 0.0000 0.5000
```

ΔE_f   -0.27 eV per atom
Energy   -5.499 eV/atom


No. 3
Below is Ti6Ga12Os after structural relaxation, with properties calculated at the PBE-GGA level.

Cell and atoms, written as CIF:
```
data_Ti6Ga12Os
_chemical_formula_sum 'Ti18 Ga36 Os3'
_space_group_name_H-M_alt 'R -3'
_space_group_IT_number 148
_space_group_name_Hall '-R 3'
_cell_length_a 10.0200
_cell_length_b 10.0200
_cell_length_c 10.6695
_cell_angle_alpha 90.00
_cell_angle_beta 90.00
_cell_angle_gamma 120.00
loop_
_atom_site_label
_atom_site_fract_x
_atom_site_fract_y
_atom_site_fract_z
Ti1 0.0144 0.4276 0.2276
Ga1 0.0538 0.1971 0.3278
Ga2 0.0540 0.8652 0.8906
Os1 0.0000 0.0000 0.5000
```

ΔE_f   -0.33 eV per atom
Energy   -5.327 eV/atom